No. 1
Below is a relaxed Nd4SnGe crystal, with properties calculated at the PBE level.

a = 8.8211 Å, b = 8.8211 Å, c = 7.9738 Å
α = 105.62°, β = 105.62°, γ = 39.48°
With the nearest neighbours (Å) after each atom.
Fractional coordinates of all 12 atoms:
Nd: 0.0526 0.7971 0.5468  1 Ge 2.91, 1 Nd 3.19
Nd: 0.2029 0.9474 0.9532  1 Ge 2.91, 1 Nd 3.19
Nd: 0.2109 0.4563 0.8694  2 Ge 2.96-2.97
Nd: 0.4563 0.2109 0.3694  2 Ge 2.96-2.97
Nd: 0.5437 0.7891 0.6306  2 Ge 2.96-2.97
Nd: 0.7891 0.5437 0.1306  2 Ge 2.96-2.97
Nd: 0.7971 0.0526 0.0468  1 Ge 2.91, 1 Nd 3.19
Nd: 0.9474 0.2029 0.4532  1 Ge 2.91, 1 Nd 3.19
Sn: 0.3746 0.6254 0.2500  10 Nd 3.32-3.50
Sn: 0.6254 0.3746 0.7500  10 Nd 3.32-3.50
Ge: 0.0000 0.5000 0.5000  6 Nd 2.91-2.97
Ge: 0.5000 0.0000 0.0000  6 Nd 2.91-2.97

energy of formation	-0.4256	eV/atom
size of the total moment	0.0	μB per formula unit
N(E_F)	0.963	states/eV/atom
volume	377.97	Å³ per cell
energy relative to the lowest polymorph listed for this composition	139.1	meV per atom
SG	No. 15
final energy	-5.04	eV/atom

---

No. 2
Below is a relaxed UPaS3 crystal, with properties calculated at the PBE level.

a = 7.3150 Å, b = 3.8539 Å, c = 14.8988 Å
α = 90.00°, β = 90.00°, γ = 90.00°
With the nearest neighbours (Å) after each atom.
Fractional coordinates of all 20 atoms:
U: 0.1036 0.2500 0.2104  7 S 2.74-2.85
U: 0.3964 0.7500 0.7104  7 S 2.74-2.85
U: 0.6036 0.2500 0.2896  7 S 2.74-2.85
U: 0.8964 0.7500 0.7896  7 S 2.74-2.85
Pa: 0.2454 0.7500 0.4582  7 S 2.74-2.84
Pa: 0.2546 0.2500 0.9582  7 S 2.74-2.84
Pa: 0.7454 0.7500 0.0418  7 S 2.74-2.84
Pa: 0.7546 0.2500 0.5418  7 S 2.74-2.84
S: 0.0020 0.2500 0.3950  3 Pa 2.79-2.84, 1 U 2.85
S: 0.1263 0.7500 0.0730  3 Pa 2.74-2.82, 2 U 2.82
S: 0.1674 0.2500 0.7763  4 U 2.74-2.77, 1 Pa 2.78
S: 0.3326 0.7500 0.2763  4 U 2.74-2.77, 1 Pa 2.78
S: 0.3737 0.2500 0.5730  3 Pa 2.74-2.82, 2 U 2.82
S: 0.4980 0.7500 0.8950  3 Pa 2.79-2.84, 1 U 2.85
S: 0.5020 0.2500 0.1050  3 Pa 2.79-2.84, 1 U 2.85
S: 0.6263 0.7500 0.4270  3 Pa 2.74-2.82, 2 U 2.82
S: 0.6674 0.2500 0.7237  4 U 2.74-2.77, 1 Pa 2.78
S: 0.8326 0.7500 0.2237  4 U 2.74-2.77, 1 Pa 2.78
S: 0.8737 0.2500 0.9270  3 Pa 2.74-2.82, 2 U 2.82
S: 0.9980 0.7500 0.6050  3 Pa 2.79-2.84, 1 U 2.85

E_form (uncorrected)	-1.559	eV per atom
size of the total moment	3.7	μB per formula unit
N(E_F)	1.852	states/eV/atom
volume	420.02	Å³ per cell
energy relative to the lowest polymorph listed for this composition	0.0	meV per atom
SG	No. 62
final energy	-8.19	eV/atom

---

No. 3
Below is a relaxed TbSm3Ho7 crystal, with properties calculated at the PBE level.

a = 7.0407 Å, b = 7.0407 Å, c = 8.6287 Å
α = 90.00°, β = 90.00°, γ = 120.00°
With the nearest neighbours (Å) after each atom.
Fractional coordinates of all 11 atoms:
Tb: 0.0000 0.0000 0.0000  9 Ho 3.46-3.52, 3 Sm 3.56
Sm: 0.1667 0.3335 0.6620  4 Sm 3.52, 5 Ho 3.54-3.55, 1 Tb 3.56
Sm: 0.1667 0.8333 0.6620  4 Sm 3.52, 5 Ho 3.54-3.55, 1 Tb 3.56
Sm: 0.6665 0.8333 0.6620  4 Sm 3.52, 5 Ho 3.54-3.55, 1 Tb 3.56
Ho: 0.0018 0.5009 0.9992  7 Ho 3.46-3.54, 2 Tb 3.52, 2 Sm 3.55
Ho: 0.3316 0.1658 0.3256  1 Tb 3.46, 8 Ho 3.48-3.54, 2 Sm 3.54
Ho: 0.3333 0.6667 0.3244  9 Ho 3.46-3.52, 3 Sm 3.55
Ho: 0.4991 0.5009 0.9992  7 Ho 3.46-3.54, 2 Tb 3.52, 2 Sm 3.55
Ho: 0.4991 0.9982 0.9992  7 Ho 3.46-3.54, 2 Tb 3.52, 2 Sm 3.55
Ho: 0.8342 0.1658 0.3256  1 Tb 3.46, 8 Ho 3.48-3.54, 2 Sm 3.54
Ho: 0.8342 0.6684 0.3256  1 Tb 3.46, 8 Ho 3.48-3.54, 2 Sm 3.54

energy of formation	0.1815	eV/atom
size of the total moment	0.0	μB per formula unit
N(E_F)	1.534	states/eV/atom
volume	370.43	Å³ per cell
energy relative to the lowest polymorph listed for this composition	32.6	meV per atom
SG	No. 156
final energy	-4.44	eV/atom

---

Question: N(E_F) of number 3 (TbSm3Ho7)?
Answer: 1.534 states/eV/atom

---

Question: Number 3 is which compound?
Answer: TbSm3Ho7

---

Question: Number 3 is which compound?
Answer: TbSm3Ho7